A relaxed PmMg3Zn4 crystal, computed with PBE.

Cell: 9.363 7.203 4.685 Å, 90.00 90.00 90.00°
Space group Pmma (No. 51)
One atom of each set of equivalent atoms:
Pm (0.000, 0.000, 0.000) [2 per cell]
Mg (0.000, 0.500, 0.000) [2 per cell]
Mg (0.250, 0.000, 0.499) [2 per cell]
Mg (0.250, 0.500, 0.498) [2 per cell]
Zn (0.000, 0.269, 0.500) [4 per cell]
Zn (0.250, 0.269, 0.998) [4 per cell]

Calculated values
M_tot	0.00	μB/f.u.
DOS at the Fermi energy	8.35	states/eV per cell
formation enthalpy at 0 K	-180.6	meV/atom

***

A relaxed Pm5Mg4Zn crystal, computed with PBE.

Cell: 3.796 3.796 19.369 Å, 90.00 90.00 90.00°
Space group P4/mmm (No. 123)
One atom of each set of equivalent atoms:
Pm (0.000, 0.000, 0.000) [1 per cell]
Pm (0.000, 0.000, 0.204) [2 per cell]
Pm (0.000, 0.000, 0.411) [2 per cell]
Mg (0.500, 0.500, 0.102) [2 per cell]
Mg (0.500, 0.500, 0.306) [2 per cell]
Zn (0.500, 0.500, 0.500) [1 per cell]

Calculated values
M_tot	0.00	μB/f.u.
DOS at the Fermi energy	11.94	states/eV per cell
formation enthalpy at 0 K	-146.1	meV/atom

***

A relaxed PmMg5Zn2 crystal, computed with PBE.

Cell: 3.844 8.508 10.897 Å, 90.00 90.00 90.00°
Space group Immm (No. 71)
One atom of each set of equivalent atoms:
Pm (0.000, 0.000, 0.000) [2 per cell]
Mg (0.000, 0.197, 0.353) [8 per cell]
Mg (0.000, 0.500, 0.000) [2 per cell]
Zn (0.000, 0.500, 0.267) [4 per cell]

Calculated values
M_tot	0.00	μB/f.u.
DOS at the Fermi energy	5.61	states/eV per cell
formation enthalpy at 0 K	-144.8	meV/atom

***

A relaxed Pm8Mg2Zn crystal, computed with PBE.

Cell: 18.416 5.441 7.050 Å, 90.00 105.30 90.00°
Space group C2/m (No. 12)
One atom of each set of equivalent atoms:
Pm (0.019, 0.000, 0.269) [4 per cell]
Pm (0.093, 0.500, 0.949) [4 per cell]
Pm (0.157, 0.500, 0.455) [4 per cell]
Pm (0.195, 0.000, 0.777) [4 per cell]
Mg (0.188, 0.000, 0.219) [4 per cell]
Zn (0.000, 0.500, 0.500) [2 per cell]

Calculated values
M_tot	0.00	μB/f.u.
DOS at the Fermi energy	24.87	states/eV per cell
formation enthalpy at 0 K	-9.3	meV/atom

***

A relaxed Pm2MgZr crystal, computed with PBE.

Cell: 3.4205 3.4205 34.0624 Å, 90.00 90.00 120.00°
Space group R3m (No. 160, hexagonal axes)
One atom of each set of equivalent atoms:
Pm (0.0000, 0.0000, 0.0000) [3 per cell]
Pm (0.0000, 0.0000, 0.1749) [3 per cell]
Mg (0.0000, 0.0000, 0.4206) [3 per cell]
Zr (0.0000, 0.0000, 0.5875) [3 per cell]

Calculated values
M_tot	0.00	μB/f.u.
DOS at the Fermi energy	11.38	states/eV per cell
offset from the most stable computed form	6.6	kJ/mol of atoms
formation enthalpy at 0 K	93.7	meV/atom

***

A relaxed PmMg2Zr crystal, computed with PBE.

Cell: 3.649 3.649 7.542 Å, 90.00 90.00 90.00°
Space group P4/mmm (No. 123)
One atom of each set of equivalent atoms:
Pm (0.000, 0.000, 0.000) [1 per cell]
Mg (0.500, 0.500, 0.277) [2 per cell]
Zr (0.000, 0.000, 0.500) [1 per cell]

Calculated values
M_tot	0.00	μB/f.u.
DOS at the Fermi energy	4.66	states/eV per cell
offset from the most stable computed form	0.0	kJ/mol of atoms
formation enthalpy at 0 K	24.8	meV/atom

***

A relaxed PmMg2Zr crystal, computed with PBE.

Cell: 3.2285 3.2285 33.9541 Å, 90.00 90.00 120.00°
Space group R-3m (No. 166, hexagonal axes)
One atom of each set of equivalent atoms:
Pm (0.0000, 0.0000, 0.0000) [3 per cell]
Mg (0.0000, 0.0000, 0.2454) [6 per cell]
Zr (0.0000, 0.0000, 0.5000) [3 per cell]

Calculated values
M_tot	0.00	μB/f.u.
DOS at the Fermi energy	13.68	states/eV per cell
offset from the most stable computed form	7.7	kJ/mol of atoms
formation enthalpy at 0 K	104.5	meV/atom

***

A relaxed Pm2MgZr crystal, computed with PBE.

Cell: 3.460 3.460 9.548 Å, 90.00 90.00 90.00°
Space group P4/mmm (No. 123)
One atom of each set of equivalent atoms:
Pm (0.000, 0.000, 0.245) [2 per cell]
Mg (0.500, 0.500, 0.500) [1 per cell]
Zr (0.500, 0.500, 0.000) [1 per cell]

Calculated values
M_tot	0.00	μB/f.u.
DOS at the Fermi energy	5.08	states/eV per cell
offset from the most stable computed form	0.0	kJ/mol of atoms
formation enthalpy at 0 K	25.3	meV/atom

***

A relaxed PmMg2Zr crystal, computed with PBE.

Cell: 7.367 7.367 7.367 Å, 90.00 90.00 90.00°
Space group Fm-3m (No. 225)
One atom of each set of equivalent atoms:
Pm (0.000, 0.000, 0.000) [4 per cell]
Mg (0.250, 0.250, 0.250) [8 per cell]
Zr (0.000, 0.000, 0.500) [4 per cell]

Calculated values
M_tot	0.00	μB/f.u.
DOS at the Fermi energy	17.88	states/eV per cell
offset from the most stable computed form	2.4	kJ/mol of atoms
formation enthalpy at 0 K	50.1	meV/atom

***

A relaxed PmMg4Zr crystal, computed with PBE.

Cell: 8.392 8.392 8.392 Å, 90.00 90.00 90.00°
Space group F-43m (No. 216)
One atom of each set of equivalent atoms:
Pm (0.000, 0.000, 0.000) [4 per cell]
Mg (0.124, 0.124, 0.624) [16 per cell]
Zr (0.250, 0.250, 0.250) [4 per cell]

Calculated values
M_tot	2.29	μB/f.u.
DOS at the Fermi energy	33.16	states/eV per cell
formation enthalpy at 0 K	48.6	meV/atom

***

A relaxed Pm2MgZr crystal, computed with PBE.

Cell: 3.2707 3.2707 36.8321 Å, 90.00 90.00 120.00°
Space group R-3m (No. 166, hexagonal axes)
One atom of each set of equivalent atoms:
Pm (0.0000, 0.0000, 0.0866) [6 per cell]
Mg (0.0000, 0.0000, 0.5000) [3 per cell]
Zr (0.0000, 0.0000, 0.0000) [3 per cell]

Calculated values
M_tot	0.00	μB/f.u.
DOS at the Fermi energy	13.59	states/eV per cell
offset from the most stable computed form	28.5	kJ/mol of atoms
formation enthalpy at 0 K	320.8	meV/atom

***

A relaxed Pm2MgZr crystal, computed with PBE.

Cell: 7.684 7.684 7.684 Å, 90.00 90.00 90.00°
Space group Fm-3m (No. 225)
One atom of each set of equivalent atoms:
Pm (0.250, 0.250, 0.250) [8 per cell]
Mg (0.000, 0.000, 0.000) [4 per cell]
Zr (0.000, 0.000, 0.500) [4 per cell]

Calculated values
M_tot	1.65	μB/f.u.
DOS at the Fermi energy	18.52	states/eV per cell
offset from the most stable computed form	10.0	kJ/mol of atoms
formation enthalpy at 0 K	129.1	meV/atom

***

M_tot of number 8 (Pm2MgZr)? 0.00 μB/f.u.